Entry 1:
DFT (PBE) results for a relaxed CeNbO4 crystal.

Space group: Cmmm (65)
Total DFT energy (no corrections) (eV per cell): -52.9
Formation energy (no corrections) (eV/f.u.): -17.04

Cell lengths 3.3889, 5.0520, 5.0519 Å; angles 90.95, 90.00, 90.00 degrees
Sites, in units of the cell vectors:
Nb 0.0000 0.5000 0.5000
O 0.0000 0.2187 0.2187
O 0.5000 0.6769 0.3230
Ce 0.5000 0.0000 0.0000
O 0.0000 0.7813 0.7813
O 0.5000 0.3231 0.6770


Entry 2:
DFT (PBE) results for a relaxed HfCrTeMo2 crystal.

Space group: P4/mmm (123)
Total DFT energy (no corrections) (eV per cell): -35.0
Formation energy (no corrections) (eV/f.u.): 9.40

Cell lengths 4.8936, 4.5561, 4.8936 Å; angles 90.00, 90.00, 90.00 degrees
Sites, in units of the cell vectors:
Mo 0.5000 0.0000 0.0000
Hf 0.0000 0.0000 0.0000
Te 0.5000 0.5000 0.5000
Cr 0.0000 0.5000 0.0000
Mo 0.0000 0.0000 0.5000


Entry 3:
DFT (PBE) results for a relaxed YZn3Rh4 crystal.

Energy of formation (kJ/mol of formula units): -391.4
Space group: P4/mmm (123)
Total DFT energy (no corrections) (eV per cell): -87.5

Cell lengths 4.3901, 6.3659, 8.7803 Å; angles 90.00, 90.00, 90.00 degrees
Sites, in units of the cell vectors:
Rh 0.5000 0.2282 0.5000
Zn 0.5003 0.5000 0.7500
Rh 0.5000 0.7718 0.5000
Rh 0.9994 0.2282 0.2500
Y 0.0000 0.5000 0.0000
Rh 0.0006 0.2282 0.7500
Zn 0.5006 0.0000 0.7500
Zn 0.4994 0.0000 0.2500
Zn 0.4997 0.5000 0.2500
Rh 0.5000 0.7718 0.0000
Zn 0.0000 0.0000 0.0000
Rh 0.5000 0.2282 0.0000
Rh 0.0006 0.7718 0.7500
Rh 0.9994 0.7718 0.2500
Y 0.0000 0.5000 0.5000
Zn 0.0000 0.0000 0.5000


Entry 4:
DFT (PBE) results for a relaxed SmScAg crystal.

Energy of formation (kJ/mol of formula units): -31.5
Polymorph energy (0 for the lowest one) (meV per atom): 39
Space group: Ima2 (46)
Total DFT energy (no corrections) (eV per cell): -85.4

Cell lengths 8.7696, 9.1176, 9.1176 Å; angles 46.93, 61.25, 61.25 degrees
Sites, in units of the cell vectors:
Sc 0.4919 0.1258 0.1243
Ag 0.0756 0.6680 0.6706
Sc 0.7420 0.3757 0.3742
Sc 0.7420 0.8742 0.8757
Sm 0.3606 0.7506 0.2506
Ag 0.4142 0.8294 0.8320
Sc 0.0329 0.5000 0.5000
Ag 0.0756 0.1706 0.1680
Sm 0.3618 0.2494 0.7494
Sc 0.0329 0.0000 0.0000
Sm 0.1460 0.0510 0.5510
Sc 0.4919 0.6243 0.6258
Ag 0.4142 0.3320 0.3294
Sm 0.1450 0.5516 0.0516
Ag 0.7678 0.7506 0.2506
Sm 0.7481 0.4484 0.9484
Ag 0.7689 0.2494 0.7494
Sm 0.7480 0.9490 0.4490


Entry 5:
DFT (PBE) results for a relaxed LaY2ZrCo crystal.

Energy of formation (kJ/mol of formula units): 15.0
Space group: P4/mmm (123)
Total DFT energy (no corrections) (eV per cell): -33.4

Cell lengths 5.3099, 5.3099, 5.0215 Å; angles 90.00, 90.00, 90.00 degrees
Sites, in units of the cell vectors:
Zr 0.0000 0.0000 0.5000
La 0.5000 0.5000 0.5000
Y 0.0000 0.5000 0.0000
Co 0.0000 0.0000 0.0000
Y 0.5000 0.0000 0.0000


Entry 6:
DFT (PBE) results for a relaxed NaP3Se crystal.

Polymorph energy (0 for the lowest one) (meV per atom): 824
Space group: Pm-3m (221)
Total DFT energy (no corrections) (eV per cell): -12.9
Formation energy (no corrections) (eV/f.u.): 8.15

Cell lengths 4.8438, 4.8438, 4.8438 Å; angles 90.00, 90.00, 90.00 degrees
Sites, in units of the cell vectors:
Se 0.5000 0.5000 0.5000
P 0.0000 0.5000 0.0000
P 0.0000 0.0000 0.5000
Na 0.0000 0.0000 0.0000
P 0.5000 0.0000 0.0000


Entry 7:
DFT (PBE) results for a relaxed Ce2NdTl9 crystal.

Energy of formation (kJ/mol of formula units): -309.5
Space group: P4/mmm (123)
Total DFT energy (no corrections) (eV per cell): -41.1

Cell lengths 4.8309, 4.8309, 14.4955 Å; angles 90.00, 90.00, 90.00 degrees
Sites, in units of the cell vectors:
Tl 0.0000 0.5000 0.8329
Tl 0.0000 0.5000 0.5000
Tl 0.5000 0.0000 0.8329
Nd 0.0000 0.0000 0.0000
Tl 0.5000 0.0000 0.1671
Tl 0.5000 0.5000 0.6658
Tl 0.5000 0.0000 0.5000
Ce 0.0000 0.0000 0.3327
Tl 0.5000 0.5000 0.3342
Tl 0.0000 0.5000 0.1671
Ce 0.0000 0.0000 0.6673
Tl 0.5000 0.5000 0.0000


Entry 8:
DFT (PBE) results for a relaxed Fe3Co crystal.

Energy of formation (kJ/mol of formula units): 127.4
Space group: Pmm2 (25)
Total DFT energy (no corrections) (eV per cell): -31.2

Cell lengths 2.4511, 2.3957, 7.8823 Å; angles 90.00, 90.00, 90.00 degrees
Sites, in units of the cell vectors:
Co 0.0000 0.0000 0.9632
Fe 0.5000 0.0000 0.7000
Fe 0.0000 0.5000 0.4676
Fe 0.5000 0.5000 0.2025


Entry 9:
DFT (PBE) results for a relaxed LiNd2Ru crystal.

Energy of formation (kJ/mol of formula units): 2.3
Polymorph energy (0 for the lowest one) (meV per atom): 148
Space group: R-3m (166)
Total DFT energy (no corrections) (eV per cell): -20.7

Cell lengths 4.0264, 4.0264, 8.9903 Å; angles 77.06, 77.06, 60.00 degrees
Sites, in units of the cell vectors:
Li 0.5000 0.5000 0.5000
Ru 0.0000 0.0000 0.0000
Nd 0.2732 0.2732 0.1805
Nd 0.7268 0.7268 0.8195


Entry 10:
DFT (PBE) results for a relaxed Tm2GeO5 crystal.

Polymorph energy (0 for the lowest one) (meV per atom): 98
Space group: C2/c (15)
Total DFT energy (no corrections) (eV per cell): -122.6
Formation energy (no corrections) (eV/f.u.): -22.96

Cell lengths 6.2746, 6.2746, 7.1710 Å; angles 70.69, 70.69, 48.44 degrees
Sites, in units of the cell vectors:
Tm 0.6112 0.6980 0.6980
O 0.1912 0.6185 0.4897
Tm 0.6980 0.6112 0.1980
O 0.8088 0.3815 0.5103
O 0.6185 0.1912 0.9897
Ge 0.0000 0.0000 0.0000
O 0.3666 0.9560 0.3840
Tm 0.3020 0.3888 0.8020
O 0.0440 0.6334 0.1160
O 0.3815 0.8088 0.0103
O 0.8486 0.1514 0.2500
O 0.9560 0.3666 0.8840
Tm 0.3888 0.3020 0.3020
O 0.6334 0.0440 0.6160
O 0.1514 0.8486 0.7500
Ge 0.0000 0.0000 0.5000


Entry 11:
DFT (PBE) results for a relaxed PaZnCdN3 crystal.

Space group: P2_1/m (11)
Total DFT energy (no corrections) (eV per cell): -78.7
Formation energy (no corrections) (eV/f.u.): -2.69

Cell lengths 3.4006, 7.8921, 6.8181 Å; angles 103.48, 90.00, 90.00 degrees
Sites, in units of the cell vectors:
Pa 0.2500 0.1731 0.1881
N 0.2500 0.6446 0.8685
N 0.2500 0.0265 0.8639
N 0.2500 0.7975 0.4908
Cd 0.2500 0.5845 0.2012
N 0.7500 0.3554 0.1315
N 0.7500 0.2025 0.5092
N 0.7500 0.9735 0.1361
Zn 0.2500 0.1161 0.6195
Pa 0.7500 0.8269 0.8119
Cd 0.7500 0.4155 0.7988
Zn 0.7500 0.8839 0.3805


Entry 12:
DFT (PBE) results for a relaxed Ho5TlIr crystal.

Energy of formation (kJ/mol of formula units): -185.8
Space group: C2/c (15)
Total DFT energy (no corrections) (eV per cell): -72.1

Cell lengths 5.9504, 5.9504, 11.7468 Å; angles 77.94, 77.94, 77.87 degrees
Sites, in units of the cell vectors:
Ho 0.5804 0.9188 0.6246
Ho 0.4196 0.0812 0.3754
Ho 0.4541 0.7880 0.9382
Ir 0.0000 0.0000 0.0000
Ho 0.9992 0.0008 0.7500
Tl 0.5918 0.4082 0.7500
Ho 0.0008 0.9992 0.2500
Ir 0.0000 0.0000 0.5000
Tl 0.4082 0.5918 0.2500
Ho 0.7880 0.4541 0.4382
Ho 0.5459 0.2120 0.0618
Ho 0.2120 0.5459 0.5618
Ho 0.0812 0.4196 0.8754
Ho 0.9188 0.5804 0.1246


Entry 13:
DFT (PBE) results for a relaxed Pr4HgSe3 crystal.

Space group: I4/mmm (139)
Total DFT energy (no corrections) (eV per cell): -42.0
Formation energy (no corrections) (eV/f.u.): -12.10

Cell lengths 6.1229, 6.1229, 7.4799 Å; angles 114.16, 114.16, 90.00 degrees
Sites, in units of the cell vectors:
Se 0.2500 0.7500 0.5000
Pr 0.7430 0.7430 0.4860
Se 0.7500 0.2500 0.5000
Hg 0.0000 0.0000 0.0000
Pr 0.0000 0.5000 0.0000
Pr 0.2570 0.2570 0.5140
Pr 0.5000 0.0000 0.0000
Se 0.5000 0.5000 0.0000


Entry 14:
DFT (PBE) results for a relaxed LiCl3 crystal.

Polymorph energy (0 for the lowest one) (meV per atom): 585
Space group: Pm-3m (221)
Total DFT energy (no corrections) (eV per cell): -8.6
Formation energy (no corrections) (eV/f.u.): -1.12

Cell lengths 4.4592, 4.4592, 4.4592 Å; angles 90.00, 90.00, 90.00 degrees
Sites, in units of the cell vectors:
Cl 0.0000 0.5000 0.5000
Cl 0.5000 0.5000 0.0000
Cl 0.5000 0.0000 0.5000
Li 0.0000 0.0000 0.0000


Entry 15:
DFT (PBE) results for a relaxed PaZnGe2O8 crystal.

Space group: I-4m2 (119)
Total DFT energy (no corrections) (eV per cell): -82.6
Formation energy (no corrections) (eV/f.u.): -22.93

Cell lengths 5.8666, 5.8666, 5.8666 Å; angles 108.32, 108.32, 111.80 degrees
Sites, in units of the cell vectors:
O 0.8672 0.6731 0.1941
Ge 0.5000 0.5000 0.0000
O 0.4791 0.6731 0.8059
O 0.3737 0.0654 0.3083
O 0.3269 0.1328 0.8059
O 0.9346 0.6263 0.6917
Ge 0.7500 0.2500 0.5000
Zn 0.0000 0.0000 0.0000
Pa 0.2500 0.7500 0.5000
O 0.9346 0.2430 0.3083
O 0.7570 0.0654 0.6917
O 0.3269 0.5209 0.1941


Entry 16:
DFT (PBE) results for a relaxed Tb6HgOs2 crystal.

Energy of formation (kJ/mol of formula units): -241.2
Space group: Immm (71)
Total DFT energy (no corrections) (eV per cell): -106.1

Cell lengths 8.5103, 8.5103, 8.5103 Å; angles 104.05, 112.19, 112.31 degrees
Sites, in units of the cell vectors:
Os 0.3288 0.0000 0.3288
Os 0.6712 0.0000 0.6712
Tb 0.3137 0.9833 0.6696
Tb 0.4636 0.2797 0.1839
Tb 0.2038 0.2430 0.4468
Tb 0.7962 0.2430 0.0392
Tb 0.6863 0.0167 0.3304
Tb 0.3137 0.6440 0.3304
Hg 0.0000 0.0000 0.0000
Tb 0.9042 0.7203 0.1839
Tb 0.0958 0.2797 0.8161
Os 0.5000 0.3801 0.8801
Tb 0.5364 0.7203 0.8161
Os 0.5000 0.6199 0.1199
Tb 0.2038 0.7570 0.9608
Tb 0.6863 0.3560 0.6696
Hg 0.0000 0.5000 0.5000
Tb 0.7962 0.7570 0.5532


Entry 17:
DFT (PBE) results for a relaxed ReMo3C crystal.

Energy of formation (kJ/mol of formula units): 1420.5
Polymorph energy (0 for the lowest one) (meV per atom): 2774
Space group: Pm-3m (221)
Total DFT energy (no corrections) (eV per cell): -39.4

Cell lengths 4.7273, 4.7273, 4.7273 Å; angles 90.00, 90.00, 90.00 degrees
Sites, in units of the cell vectors:
Re 0.0000 0.0000 0.0000
Mo 0.0000 0.5000 0.0000
Mo 0.5000 0.0000 0.0000
C 0.5000 0.5000 0.5000
Mo 0.0000 0.0000 0.5000


Entry 18:
DFT (PBE) results for a relaxed DyHo3B crystal.

Energy of formation (kJ/mol of formula units): 30.5
Space group: Pm-3m (221)
Total DFT energy (no corrections) (eV per cell): -24.7

Cell lengths 5.1356, 5.1356, 5.1356 Å; angles 90.00, 90.00, 90.00 degrees
Sites, in units of the cell vectors:
Ho 0.5000 0.0000 0.0000
Dy 0.5000 0.5000 0.5000
Ho 0.0000 0.5000 0.0000
Ho 0.0000 0.0000 0.5000
B 0.0000 0.0000 0.0000


Entry 19:
DFT (PBE) results for a relaxed AlReSbTe2 crystal.

Polymorph energy (0 for the lowest one) (meV per atom): 0
Space group: P4/mmm (123)
Total DFT energy (no corrections) (eV per cell): -22.7
Formation energy (no corrections) (eV/f.u.): 3.91

Cell lengths 5.3477, 5.3477, 5.1354 Å; angles 90.00, 90.00, 90.00 degrees
Sites, in units of the cell vectors:
Te 0.0000 0.5000 0.0000
Te 0.5000 0.0000 0.0000
Sb 0.0000 0.0000 0.5000
Re 0.0000 0.0000 0.0000
Al 0.5000 0.5000 0.5000